(1)
TaAl2Cr: relaxed, PBE.

## Properties
Energy of formation ... -0.12 eV per atom
Volume ... 15.22 Å³/atom
Crystal system ... tetragonal

extended XYZ file:
```
4
Lattice="3.8647 0.0000 0.0000 0.0000 3.8647 0.0000 0.0000 0.0000 4.0763" Properties=species:S:1:pos:R:3 pbc="T T T"
Ta 0.0000 0.0000 0.0000
Al 0.0000 1.9324 2.0381
Al 1.9324 0.0000 2.0381
Cr 1.9324 1.9324 0.0000
```

---

(2)
TaAl2Cr: relaxed, PBE.

## Properties
Energy of formation ... -0.08 eV per atom
Volume ... 15.01 Å³/atom
Crystal system ... monoclinic

extended XYZ file:
```
4
Lattice="2.7426 0.0000 0.0000 0.0000 4.1941 0.0000 -1.2881 0.0000 5.2181" Properties=species:S:1:pos:R:3 pbc="T T T"
Ta 0.0000 0.0000 0.0000
Al 0.2230 2.0970 3.8342
Al 1.2315 2.0970 1.3839
Cr -0.6440 0.0000 2.6090
```

---

Please write out number 1 again, unchanged.
TaAl2Cr: relaxed, PBE.

## Properties
Energy of formation ... -0.12 eV per atom
Volume ... 15.22 Å³/atom
Crystal system ... tetragonal

extended XYZ file:
```
4
Lattice="3.8647 0.0000 0.0000 0.0000 3.8647 0.0000 0.0000 0.0000 4.0763" Properties=species:S:1:pos:R:3 pbc="T T T"
Ta 0.0000 0.0000 0.0000
Al 0.0000 1.9324 2.0381
Al 1.9324 0.0000 2.0381
Cr 1.9324 1.9324 0.0000
```

---

Repeat the second record exactly.
TaAl2Cr: relaxed, PBE.

## Properties
Energy of formation ... -0.08 eV per atom
Volume ... 15.01 Å³/atom
Crystal system ... monoclinic

extended XYZ file:
```
4
Lattice="2.7426 0.0000 0.0000 0.0000 4.1941 0.0000 -1.2881 0.0000 5.2181" Properties=species:S:1:pos:R:3 pbc="T T T"
Ta 0.0000 0.0000 0.0000
Al 0.2230 2.0970 3.8342
Al 1.2315 2.0970 1.3839
Cr -0.6440 0.0000 2.6090
```